# 1
## LiPuU (PBE-GGA)

Data for a geometry-optimized LiPuU structure. Values from VASP.

The structure in Quantum ESPRESSO input format:
```
&SYSTEM
  ibrav = 0, nat = 3, ntyp = 3
/
ATOMIC_SPECIES
Li 6.94 Li.upf
Pu 244.00 Pu.upf
U 238.03 U.upf
CELL_PARAMETERS angstrom
0.000 2.930 2.930
2.930 0.000 2.930
2.930 2.930 0.000
ATOMIC_POSITIONS crystal
Li 0.250 0.250 0.250
Pu 0.750 0.750 0.750
U 0.000 0.000 0.000
```

Summary:
E   -0.309 Ha/atom
Calculated volume   16.76 Å³/atom
Energy above the lowest structure with this stoichiometry   0.000 eV per atom


# 2
## LiPuW (PBE-GGA)

Data for a geometry-optimized LiPuW structure. Values from VASP.

The structure in Quantum ESPRESSO input format:
```
&SYSTEM
  ibrav = 0, nat = 3, ntyp = 3
/
ATOMIC_SPECIES
Pu 244.00 Pu.upf
Li 6.94 Li.upf
W 183.84 W.upf
CELL_PARAMETERS angstrom
3.898 -0.888 1.622
1.143 1.571 3.853
0.376 -2.649 3.385
ATOMIC_POSITIONS crystal
Pu 0.250 0.250 0.250
Li 0.750 0.750 0.750
W 0.000 0.000 0.000
```

Summary:
E   -0.315 Ha/atom
Calculated volume   18.93 Å³/atom
Energy above the lowest structure with this stoichiometry   0.000 eV per atom


# 3
## LiPuW (PBE-GGA)

Data for a geometry-optimized LiPuW structure. Values from VASP.

The structure in Quantum ESPRESSO input format:
```
&SYSTEM
  ibrav = 0, nat = 3, ntyp = 3
/
ATOMIC_SPECIES
W 183.84 W.upf
Pu 244.00 Pu.upf
Li 6.94 Li.upf
CELL_PARAMETERS angstrom
0.000 3.069 3.069
3.069 0.000 3.069
3.069 3.069 0.000
ATOMIC_POSITIONS crystal
W 0.750 0.750 0.750
Pu 0.000 0.000 0.000
Li 0.250 0.250 0.250
```

Summary:
E   -0.302 Ha/atom
Calculated volume   19.26 Å³/atom
Energy above the lowest structure with this stoichiometry   0.360 eV per atom


Look up the energy above the lowest structure with this stoichiometry of the third one. 0.360 eV per atom


Which formula does entry 2 have? LiPuW